# 1
This record from the Alexandria database describes CeHoTl after structural relaxation. The functional is PBE.

```
6
Lattice="-4.458 -0.700 3.072 4.573 -2.745 1.163 1.951 4.927 3.955" Properties=species:S:1:pos:R:3 pbc="T T T"
Ho -0.237 0.541 2.207
Ho 2.303 0.942 5.983
Ce 2.287 -1.372 0.582
Ce 3.262 1.091 2.559
Tl 1.326 -1.522 4.006
Tl 0.741 3.005 4.184
```

Results
Energy above the lowest structure with this stoichiometry, eV per atom: 0.0000
Total DFT energy (no corrections), eV for the cell shown: -27.03
E_form, eV per atom: -0.212


# 2
This record from the Alexandria database describes K2InOs after structural relaxation. The functional is PBE.

```
4
Lattice="-4.959 1.064 -0.957 -4.897 -1.596 0.333 -3.268 4.143 8.699" Properties=species:S:1:pos:R:3 pbc="T T T"
K -10.079 -0.185 0.102
K -10.551 2.312 5.272
Os -5.773 1.308 2.974
In -3.141 1.450 3.141
```

Results
Total DFT energy (no corrections), eV for the cell shown: -13.32
E_form, eV per atom: 0.712


# 3
This record from the Alexandria database describes Mg4PdPt3 after structural relaxation. The functional is PBE.

```
8
Lattice="-1.043 -0.616 4.318 -0.719 -4.141 1.565 6.517 -2.203 3.589" Properties=species:S:1:pos:R:3 pbc="T T T"
Mg -0.286 -3.249 4.125
Mg 5.041 -3.712 5.346
Mg 0.906 -4.989 6.494
Mg 3.849 -1.971 2.978
Pt 3.570 -5.220 7.104
Pt 1.185 -1.740 2.367
Pt 2.377 -3.480 4.736
Pd 0.000 0.000 0.000
```

Results
Total DFT energy (no corrections), eV for the cell shown: -36.36
E_form, eV per atom: -0.833


# 4
This record from the Alexandria database describes CuNi4As after structural relaxation. The functional is PBE.

```
6
Lattice="2.102 -3.777 -1.888 -1.173 -4.329 1.461 -2.427 -2.873 -2.847" Properties=species:S:1:pos:R:3 pbc="T T T"
Ni -0.562 -4.114 -1.227
Ni -1.150 -6.283 -0.494
Ni -1.778 -5.554 -2.653
Ni 0.492 -6.007 -2.173
As -1.124 -8.234 -2.455
Cu 0.000 0.000 0.000
```

Results
Total DFT energy (no corrections), eV for the cell shown: -30.87
E_form, eV per atom: 0.167


# 5
This record from the Alexandria database describes Dy3NpBi4 after structural relaxation. The functional is PBE.

```
8
Lattice="-2.532 2.213 2.967 2.442 -4.763 5.638 4.793 6.104 -0.462" Properties=species:S:1:pos:R:3 pbc="T T T"
Dy 2.351 1.777 4.071
Dy 1.221 -2.382 2.819
Dy 2.396 3.052 -0.231
Bi 1.823 0.338 1.304
Bi 1.765 -0.936 5.594
Bi 2.938 4.489 2.548
Bi 5.412 1.003 3.871
Np -1.266 1.107 1.483
```

Results
Total DFT energy (no corrections), eV for the cell shown: -47.13
E_form, eV per atom: -0.608


# 6
This record from the Alexandria database describes PmNd7Sm12 after structural relaxation. The functional is PBE.

```
20
Lattice="8.606 1.263 1.896 -1.179 8.617 1.896 -1.179 -1.569 8.683" Properties=species:S:1:pos:R:3 pbc="T T T"
Sm 4.922 7.860 5.194
Sm 0.327 5.219 9.254
Sm 0.065 6.181 4.095
Sm 1.325 0.451 7.282
Sm 4.575 1.158 5.706
Sm 1.672 7.154 6.769
Sm 6.407 4.862 5.925
Sm 3.358 5.735 3.266
Sm -0.160 3.449 6.551
Sm 6.182 2.130 8.381
Sm 2.889 2.577 9.210
Sm 5.920 3.093 3.221
Pm 0.000 0.000 0.000
Nd 6.237 7.524 8.600
Nd 0.754 3.488 1.704
Nd 0.010 0.788 3.875
Nd 3.106 7.392 10.256
Nd 5.493 4.823 10.772
Nd 3.123 4.156 6.238
Nd 3.141 0.920 2.220
```

Results
Energy above the lowest structure with this stoichiometry, eV per atom: 0.0000
Total DFT energy (no corrections), eV for the cell shown: -90.34
E_form, eV per atom: 0.221